(1)
# SrLiAsPd2

A geometry-optimized SrLiAsPd2 structure (PBE, Alexandria).

polymorph energy (0 for the lowest one)	3.16	eV per formula unit
E_form	52.0	meV/atom
N(E_F)	0.419	states/eV/atom
magnetization	0.00	μB/f.u.

abc: 4.4653 4.4653 5.1316
angles: 90.00 90.00 90.00
With the nearest neighbours (Å) after each atom.
Space group P4/mmm (No. 123)
Unique sites:
Sr  0.0000  0.0000  0.0000 [1 per cell]  2 Li 2.57
Li  0.0000  0.0000  0.5000 [1 per cell]  4 Pd 2.23
As  0.5000  0.5000  0.0000 [1 per cell]  4 Sr 3.16, 8 Pd 3.40
Pd  0.0000  0.5000  0.5000 [2 per cell]  2 Li 2.23

***

(2)
# SrLiAs2Pd5

A geometry-optimized SrLiAs2Pd5 structure (PBE, Alexandria).

E_form	-453.7	meV/atom
N(E_F)	0.459	states/eV/atom
magnetization	0.00	μB/f.u.

abc: 4.8260 4.8260 7.4051
angles: 90.00 90.00 90.00
With the nearest neighbours (Å) after each atom.
Space group P4/mmm (No. 123)
Unique sites:
Sr  0.0000  0.0000  0.0000 [1 per cell]  12 Pd 3.27-3.41
Li  0.0000  0.0000  0.5000 [1 per cell]  8 Pd 2.84
As  0.5000  0.5000  0.3297 [2 per cell]  5 Pd 2.42-2.44, 1 As 2.52
Pd  0.0000  0.5000  0.2981 [4 per cell]  2 As 2.42
Pd  0.5000  0.5000  0.0000 [1 per cell]  2 As 2.44

***

(3)
# SrLiAsPd2

A geometry-optimized SrLiAsPd2 structure (PBE, Alexandria).

polymorph energy (0 for the lowest one)	0.00	eV per formula unit
E_form	-580.3	meV/atom
N(E_F)	0.154	states/eV/atom
magnetization	0.00	μB/f.u.

abc: 4.8629 4.8629 4.6480
angles: 90.00 90.00 90.00
With the nearest neighbours (Å) after each atom.
Space group P4/mmm (No. 123)
Unique sites:
Sr  0.0000  0.0000  0.0000 [1 per cell]  8 Pd 3.36, 4 Li 3.44
Li  0.5000  0.5000  0.0000 [1 per cell]  2 As 2.32
As  0.5000  0.5000  0.5000 [1 per cell]  2 Li 2.32, 4 Pd 2.43
Pd  0.0000  0.5000  0.5000 [2 per cell]  2 As 2.43

***

(4)
# Sr2Li3As4Pd

A geometry-optimized Sr2Li3As4Pd structure (PBE, Alexandria).

E_form	-781.7	meV/atom
N(E_F)	0.562	states/eV/atom
magnetization	0.00	μB/f.u.

abc: 4.4416 4.4416 10.2347
angles: 90.00 90.00 90.00
With the nearest neighbours (Å) after each atom.
Space group P-4m2 (No. 115)
Unique sites:
Sr  0.0000  0.5000  0.2495 [2 per cell]  6 Li 3.38, 2 Pd 3.38, 8 As 3.39
Li  0.0000  0.0000  0.0000 [1 per cell]  4 As 2.56
Li  0.0000  0.5000  0.6276 [2 per cell]  5 As 2.54-2.58
As  0.0000  0.0000  0.5000 [1 per cell]  4 Li 2.58
As  0.0000  0.5000  0.8755 [2 per cell]  3 Li 2.54-2.56, 2 Pd 2.56
As  0.5000  0.5000  0.5000 [1 per cell]  4 Li 2.58
Pd  0.5000  0.5000  0.0000 [1 per cell]  4 As 2.56

***

Number 1: electronic total energy -0.2700 Ry/atom. Number 2: electronic total energy -0.3507 Ry/atom. Number 3: electronic total energy -0.3165 Ry/atom. Number 4: electronic total energy -0.2992 Ry/atom.